DFT (PBE) results for CaUHgBr6 after structural relaxation.

Results
Space-group type: P-31c
Formation energy without anion corrections, eV per atom: -1.390
Calculated total energy, eV per formula unit: -36.142
Volume, Å³/cell: 864.2

a = 7.3835 Å, b = 7.3835 Å, c = 18.3044 Å
α = 90.00°, β = 90.00°, γ = 120.00°
Positions (direct):
Ca 0.3333 0.6667 0.2500
Ca 0.6667 0.3333 0.7500
U 0.3333 0.6667 0.7500
U 0.6667 0.3333 0.2500
Hg 0.0000 0.0000 0.0000
Hg 0.0000 0.0000 0.5000
Br 0.0130 0.3698 0.6616
Br 0.0130 0.6432 0.8384
Br 0.3568 0.3698 0.8384
Br 0.3568 0.9870 0.6616
Br 0.3698 0.0130 0.1616
Br 0.3698 0.3568 0.3384
Br 0.6302 0.6432 0.6616
Br 0.6302 0.9870 0.8384
Br 0.6432 0.0130 0.3384
Br 0.6432 0.6302 0.1616
Br 0.9870 0.3568 0.1616
Br 0.9870 0.6302 0.3384